# 1
A geometry-optimized PRhBr structure, computed with GGA-PBE.

Summary:
Energy relative to the lowest polymorph listed for this composition   162 meV per atom
DFT total energy   -14.7 eV for the cell shown
Formation energy without anion corrections   -0.10 eV per atom
DOS at the Fermi energy   0.56 states/eV/atom
Magnetic moment   0.00 μB per cell
Space-group type   No. 107

a = 6.185 Å, b = 6.185 Å, c = 6.185 Å
α = 149.94°, β = 149.94°, γ = 43.04°
Element x y z (fractional)
1 P 0.000 0.000 0.000
2 Rh 0.434 0.434 0.000
3 Br 0.199 0.199 0.000



# 2
A geometry-optimized PuGeSe structure, computed with GGA-PBE.

Summary:
DFT total energy   -50.4 eV for the cell shown
Formation energy without anion corrections   -0.92 eV per atom
DOS at the Fermi energy   2.61 states/eV/atom
Magnetic moment   9.15 μB per cell
Space-group type   No. 139

a = 8.652 Å, b = 8.652 Å, c = 8.652 Å
α = 153.23°, β = 153.23°, γ = 38.22°
Element x y z (fractional)
1 Pu 0.142 0.142 0.000
2 Pu 0.858 0.858 0.000
3 Ge 0.000 0.500 0.500
4 Ge 0.500 0.000 0.500
5 Se 0.322 0.322 0.000
6 Se 0.678 0.678 0.000



# 3
A geometry-optimized CaLaPt2 structure, computed with GGA-PBE.

Summary:
DFT total energy   -22.9 eV for the cell shown
ΔE_f   -0.961 eV/atom
DOS at the Fermi energy   0.36 states/eV/atom
Magnetic moment   0.00 μB per cell
Space-group type   No. 166

a = 7.309 Å, b = 7.309 Å, c = 7.309 Å
α = 33.23°, β = 33.23°, γ = 33.23°
Element x y z (fractional)
1 Ca 0.000 0.000 0.000
2 La 0.500 0.500 0.500
3 Pt 0.249 0.249 0.249
4 Pt 0.751 0.751 0.751



# 4
A geometry-optimized Hf2MgTiN4 structure, computed with GGA-PBE.

Summary:
DFT total energy   -150.7 eV for the cell shown
Formation energy without anion corrections   -1.58 eV per atom
DOS at the Fermi energy   0.32 states/eV/atom
Magnetic moment   0.00 μB per cell
Space-group type   No. 74

a = 6.275 Å, b = 6.275 Å, c = 6.275 Å
α = 119.99°, β = 119.98°, γ = 90.02°
Element x y z (fractional)
1 Hf 0.000 0.000 0.000
2 Hf 0.500 0.000 0.000
3 Hf 0.500 0.000 0.500
4 Hf 0.500 0.500 0.500
5 Mg 0.000 0.500 0.500
6 Mg 0.500 0.500 0.000
7 Ti 0.000 0.000 0.500
8 Ti 0.000 0.500 0.000
9 N 0.245 0.749 0.496
10 N 0.247 0.251 0.996
11 N 0.248 0.246 0.498
12 N 0.248 0.751 0.002
13 N 0.752 0.249 0.998
14 N 0.752 0.754 0.502
15 N 0.753 0.749 0.004
16 N 0.755 0.251 0.504